Density functional theory data (PBE) for Nd2Cd6Ag after structural relaxation.

Lattice parameters (Å, degrees): 6.563 6.563 5.944 90.00 90.00 120.00
Fractional coordinates of all 9 atoms:
1 Nd 0.333 0.667 0.180
2 Nd 0.667 0.333 0.820
3 Cd 0.180 0.361 0.683
4 Cd 0.180 0.820 0.683
5 Cd 0.361 0.180 0.317
6 Cd 0.639 0.820 0.683
7 Cd 0.820 0.180 0.317
8 Cd 0.820 0.639 0.317
9 Ag 0.000 0.000 0.000

Output
The value obtained for the density of states at the Fermi level is 6.614 states/eV per cell. The total energy comes out at -2.219 eV/atom. The value obtained for the density is 8.0 g cm⁻³.